# 1
An optimized crystal structure of Ba2HWI, computed with GGA-PBE.

a b c (Å): 5.362 5.362 5.612
angles (deg): 90.00 90.00 90.00
Sites, in units of the cell vectors:
1 Ba 0.000 0.500 0.000
2 Ba 0.500 0.000 0.000
3 H 0.000 0.000 0.000
4 W 0.500 0.500 0.500
5 I 0.000 0.000 0.500

Summary:
Space-group type = P4/mmm, No. 123
VASP energy = -3.69 eV per atom

=====

# 2
An optimized crystal structure of HoSi2Pd4, computed with GGA-PBE.

a b c (Å): 7.908 7.908 3.697
angles (deg): 90.00 90.00 90.00
Sites, in units of the cell vectors:
1 Ho 0.000 0.000 0.000
2 Ho 0.500 0.500 0.500
3 Si 0.227 0.227 0.500
4 Si 0.273 0.727 0.000
5 Si 0.727 0.273 0.000
6 Si 0.773 0.773 0.500
7 Pd 0.072 0.682 0.500
8 Pd 0.182 0.428 0.000
9 Pd 0.318 0.928 0.500
10 Pd 0.428 0.182 0.000
11 Pd 0.572 0.818 0.000
12 Pd 0.682 0.072 0.500
13 Pd 0.818 0.572 0.000
14 Pd 0.928 0.318 0.500

Summary:
Space-group type = P4_2/mnm, No. 136
Distance to the lowest polymorph of the same formula = 0.0 meV per atom
E_form (uncorrected) = -834 meV per atom

=====

# 3
An optimized crystal structure of Na4PrU3S8, computed with GGA-PBE.

a b c (Å): 8.191 8.191 8.191
angles (deg): 58.64 58.64 58.64
Sites, in units of the cell vectors:
1 Na 0.000 0.000 0.000
2 Na 0.000 0.500 0.500
3 Na 0.500 0.000 0.500
4 Na 0.500 0.500 0.000
5 Pr 0.500 0.500 0.500
6 U 0.000 0.000 0.500
7 U 0.000 0.500 0.000
8 U 0.500 0.000 0.000
9 S 0.235 0.749 0.749
10 S 0.243 0.243 0.243
11 S 0.251 0.251 0.765
12 S 0.251 0.765 0.251
13 S 0.749 0.235 0.749
14 S 0.749 0.749 0.235
15 S 0.757 0.757 0.757
16 S 0.765 0.251 0.251

Summary:
Space-group type = R-3m, No. 166
E_form (uncorrected) = -1444 meV per atom

=====

# 4
An optimized crystal structure of CaFe2Se, computed with GGA-PBE.

a b c (Å): 4.302 4.302 4.302
angles (deg): 60.00 60.00 60.00
Sites, in units of the cell vectors:
1 Ca 0.000 0.000 0.000
2 Fe 0.250 0.250 0.250
3 Fe 0.750 0.750 0.750
4 Se 0.500 0.500 0.500

Summary:
Space-group type = Fm-3m, No. 225
Distance to the lowest polymorph of the same formula = 754.3 meV per atom
E_form (uncorrected) = 537 meV per atom